Here is crystalline MnGa3N at its relaxed geometry from Alexandria. Energies are from PBE.

a = 4.750 Å, b = 4.750 Å, c = 4.750 Å
α = 90.00°, β = 90.00°, γ = 90.00°
Sites, in units of the cell vectors:
Mn (0.000, 0.000, 0.000)
Ga (0.000, 0.000, 0.500)
Ga (0.000, 0.500, 0.000)
Ga (0.500, 0.000, 0.000)
N (0.500, 0.500, 0.500)

Computed properties:
- M_tot: 4.39 μB per cell
- Polymorph energy (0 for the lowest one): 0.2528 eV per atom
- Formation energy (no corrections): 5.30 eV per formula unit